No. 1
A geometry-optimized NaGe2Te4 structure. Source: Alexandria, functional PBE.

Structure (POSCAR):
```
NaGe2Te4
1.0
4.068 0.000 0.000
-2.034 7.030 0.000
0.000 0.000 14.078
Na Ge Te
2 4 8
direct
0.596 0.191 0.750
0.404 0.809 0.250
0.143 0.285 0.437
0.857 0.715 0.563
0.143 0.285 0.063
0.857 0.715 0.937
0.926 0.853 0.750
0.225 0.449 0.619
0.074 0.147 0.250
0.500 0.000 0.000
0.775 0.551 0.119
0.225 0.449 0.881
0.500 0.000 0.500
0.775 0.551 0.381
```

For the total energy, the calculation gives -3.427 eV per atom. The symmetry is Cmcm (63). As for the uncorrected formation energy: -125 meV per atom.


No. 2
A geometry-optimized EuTmGe2 structure. Source: Alexandria, functional PBE.

Structure (POSCAR):
```
EuTmGe2
1.0
3.797 0.000 0.000
0.000 3.797 0.000
0.000 0.000 6.661
Tm Ge Eu
1 2 1
direct
0.500 0.500 0.500
0.000 0.000 0.297
0.000 0.000 0.703
0.500 0.500 0.000
```

For the total energy, the calculation gives -6.616 eV per atom. The symmetry is P4/mmm (123).


No. 3
A geometry-optimized InNiCl2 structure. Source: Alexandria, functional PBE.

Structure (POSCAR):
```
InNiCl2
1.0
4.999 0.048 0.082
-2.109 4.516 0.147
0.780 2.479 4.237
Cl In Ni
2 1 1
direct
0.000 0.000 0.000
0.500 0.000 0.500
0.000 0.500 0.500
0.500 0.500 0.000
```

For the total energy, the calculation gives -3.082 eV per atom. The symmetry is C2/m (12). As for the uncorrected formation energy: -29 meV per atom.